This record from Alexandria via LeMat-Bulk describes a relaxed Mg2SbAs crystal. The functional is PBE-GGA.

abc: 3.191 4.131 7.829
angles: 90.00 90.24 90.00
Sites, in units of the cell vectors:
Mg (0.000, 0.000, 0.000)
Mg (0.484, 0.500, 0.437)
Sb (0.989, 0.000, 0.628)
As (0.501, 0.500, 0.107)

Results
Calculated volume ... 25.80 A^3/atom
SG ... Pm
ΔE_f (raw) ... -0.313 eV per atom
Distance to the lowest polymorph of the same formula ... 0.020 eV/f.u.
Spin magnetization ... 0.0 μB/cell



This record from Alexandria via LeMat-Bulk describes a relaxed MgSbAs4 crystal. The functional is PBE-GGA.

abc: 5.700 5.700 5.700
angles: 60.00 60.00 60.00
Sites, in units of the cell vectors:
Mg (0.000, 0.000, 0.000)
Sb (0.750, 0.750, 0.750)
As (0.372, 0.372, 0.372)
As (0.372, 0.372, 0.883)
As (0.372, 0.883, 0.372)
As (0.883, 0.372, 0.372)

Results
Calculated volume ... 21.82 A^3/atom
SG ... F-43m
ΔE_f (raw) ... 0.302 eV per atom
Spin magnetization ... 0.0 μB/cell



This record from Alexandria via LeMat-Bulk describes a relaxed MgSb2As crystal. The functional is PBE-GGA.

abc: 6.586 6.586 4.618
angles: 108.40 108.40 34.33
Sites, in units of the cell vectors:
Mg (0.000, 0.000, 0.000)
Sb (0.483, 0.483, 0.485)
Sb (0.738, 0.738, 0.802)
As (0.235, 0.235, 0.198)

Results
Calculated volume ... 26.65 A^3/atom
SG ... Cm
ΔE_f (raw) ... -0.093 eV per atom
Distance to the lowest polymorph of the same formula ... 0.000 eV/f.u.
Spin magnetization ... 0.0 μB/cell



This record from Alexandria via LeMat-Bulk describes a relaxed MgSb2As2 crystal. The functional is PBE-GGA.

abc: 7.839 7.839 4.005
angles: 90.00 90.00 90.00
Sites, in units of the cell vectors:
Mg (0.000, 0.000, 0.000)
Mg (0.500, 0.500, 0.000)
Sb (0.161, 0.339, 0.500)
Sb (0.339, 0.839, 0.500)
Sb (0.661, 0.161, 0.500)
Sb (0.839, 0.661, 0.500)
As (0.170, 0.670, 0.000)
As (0.330, 0.170, 0.000)
As (0.670, 0.830, 0.000)
As (0.830, 0.330, 0.000)

Results
Calculated volume ... 24.61 A^3/atom
SG ... P4/mbm
ΔE_f (raw) ... 0.059 eV per atom
Distance to the lowest polymorph of the same formula ... 0.000 eV/f.u.
Spin magnetization ... 0.0 μB/cell



Q: Which value of ΔE_f (raw) does entry 3 give?
A: -0.093 eV per atom



Q: Which value of calculated volume does entry 3 give?
A: 26.65 A^3/atom